No. 1
Compound: Li3Tb3TaSe8
Source: the Alexandria database
Functional: PBE-GGA
Structure: optimized geometry

Summary:
total DFT energy (no corrections)	-5.42	eV/atom

Cell: 7.997 7.997 7.999 Å, 120.01 90.00 120.00°
Element x y z (fractional)
1 Se 0.247 0.494 0.241
2 Se 0.753 0.506 0.759
3 Se 0.235 0.470 0.742
4 Se 0.235 0.007 0.742
5 Se 0.765 0.530 0.258
6 Se 0.228 0.993 0.258
7 Se 0.765 0.993 0.258
8 Se 0.772 0.007 0.742
9 Li 0.000 0.000 0.000
10 Li 0.500 0.500 0.000
11 Li 0.000 0.500 0.000
12 Ta 0.000 0.000 0.500
13 Tb 0.500 0.000 0.500
14 Tb 0.000 0.500 0.500
15 Tb 0.500 0.500 0.500

---

No. 2
Compound: LaY6Zn2
Source: the Alexandria database
Functional: PBE-GGA
Structure: optimized geometry

Summary:
DFT formation energy	-0.144	eV/atom

Cell: 3.658 6.576 11.725 Å, 75.58 81.03 73.85°
Element x y z (fractional)
1 Zn 0.345 0.094 0.216
2 Zn 0.655 0.906 0.784
3 Y 0.308 0.510 0.873
4 Y 0.315 0.784 0.587
5 Y 0.685 0.216 0.413
6 Y 0.024 0.283 0.669
7 Y 0.692 0.490 0.127
8 Y 0.976 0.717 0.331
9 La 0.000 0.000 0.000

---

No. 3
Compound: Rb2TlHgAs
Source: the Alexandria database
Functional: PBE-GGA
Structure: optimized geometry

Summary:
DFT formation energy	-0.122	eV/atom

Cell: 6.780 6.780 5.645 Å, 90.00 90.00 90.00°
Element x y z (fractional)
1 Tl 0.000 0.000 0.500
2 As 0.000 0.000 0.000
3 Rb 0.000 0.500 0.000
4 Rb 0.500 0.000 0.000
5 Hg 0.500 0.500 0.500